LiPH21S3N7 | GGA-PBEsol | relaxed

Results
Total magnetization: 0.00 Bohr magnetons per cell
Space-group type: P-1 (2)
Energy: -5.005 eV/atom

Lattice parameters (Å, degrees): 7.0340 7.1983 12.9599 87.92 87.96 73.35
Last column: nearest neighbours and their distance in Å.
Sites, in units of the cell vectors:
H 0.2709 0.6418 0.4086  1 N 1.10
H 0.5385 0.1833 0.6092  1 N 1.03
H 0.9439 0.2733 0.6605  1 N 1.05
H 0.7413 0.4305 0.8045  1 N 1.03
H 0.4929 0.4465 0.2177  1 N 1.03
H 0.4615 0.8167 0.3908  1 N 1.03
H 0.6926 0.6483 0.7508  1 N 1.03
H 0.6343 0.1622 0.3554  1 N 1.03
H 0.1101 0.4978 0.3947  1 N 1.04
H 0.2511 0.7207 0.9316  1 N 1.04
H 0.4832 0.1420 0.8848  1 N 1.03
H 0.6044 0.0324 0.7821  1 N 1.03
H 0.8664 0.6128 0.0493  1 N 1.03
H 0.5168 0.8580 0.1152  1 N 1.03
H 0.3074 0.3517 0.2492  1 N 1.03
H 0.1974 0.9444 0.5546  1 N 1.03
H 0.0561 0.7267 0.3395  1 N 1.05
H 0.8026 0.0556 0.4454  1 N 1.03
H 0.3900 0.4022 0.6410  1 N 1.03
H 0.9655 0.3026 0.5295  1 N 1.05
H 0.9282 0.7069 0.9388  1 N 1.03
H 0.0345 0.6974 0.4705  1 N 1.05
H 0.5071 0.5535 0.7823  1 N 1.03
H 0.2587 0.5695 0.1955  1 N 1.03
H 0.3610 0.0546 0.8017  1 N 1.03
H 0.1336 0.3872 0.9507  1 N 1.03
H 0.2346 0.8322 0.0427  1 N 1.03
H 0.4520 0.3490 0.5177  1 N 1.02
H 0.7291 0.3582 0.5914  1 N 1.10
H 0.3657 0.8378 0.6446  1 N 1.03
H 0.6390 0.9454 0.1983  1 N 1.03
H 0.5480 0.6510 0.4823  1 N 1.02
H 0.8899 0.5022 0.6053  1 N 1.04
H 0.7654 0.1678 0.9573  1 N 1.03
H 0.3956 0.9676 0.2179  1 N 1.03
H 0.7489 0.2793 0.0684  1 N 1.04
H 0.1459 0.1570 0.9588  1 N 1.03
H 0.6100 0.5978 0.3590  1 N 1.03
H 0.0718 0.2931 0.0612  1 N 1.03
H 0.6538 0.4007 0.9632  1 N 1.03
H 0.8541 0.8430 0.0412  1 N 1.03
H 0.3462 0.5993 0.0368  1 N 1.03
N 0.5041 0.9718 0.1631  3 H 1.03
N 0.8842 0.3604 0.5958  4 H 1.04-1.10
N 0.6715 0.2708 0.0031  3 H 1.03-1.04
N 0.4966 0.6705 0.4086  3 H 1.02-1.03
N 0.1722 0.2670 0.9995  3 H 1.03
N 0.1158 0.6396 0.4042  4 H 1.04-1.10
N 0.7633 0.1648 0.3893  2 H 1.03
N 0.3587 0.4337 0.1937  3 H 1.03
N 0.8278 0.7330 0.0005  3 H 1.03
N 0.2367 0.8352 0.6107  2 H 1.03
N 0.4959 0.0282 0.8369  3 H 1.03
N 0.5034 0.3295 0.5914  3 H 1.02-1.03
N 0.3285 0.7292 0.9969  3 H 1.03-1.04
N 0.6413 0.5663 0.8063  3 H 1.03
Li 0.5739 0.7725 0.9204  4 N 2.04-2.08
Li 0.4261 0.2275 0.0796  4 N 2.04-2.08
S 0.8192 0.8413 0.6049  1 P 2.05
S 0.1808 0.1587 0.3951  1 P 2.05
S 0.8517 0.4264 0.2249  1 P 2.02
S 0.1483 0.5736 0.7751  1 P 2.02
S 0.9927 0.0578 0.7937  1 P 2.03, 1 H 2.25
S 0.0073 0.9422 0.2063  1 P 2.03, 1 H 2.25
P 0.9469 0.1702 0.3023  1 N 1.69
P 0.0531 0.8298 0.6977  1 N 1.69


NaLi3H | GGA-PBEsol | relaxed

Results
Total magnetization: 0.00 Bohr magnetons per cell
Space-group type: Pm-3m (221)
Energy: -2.132 eV/atom

Lattice parameters (Å, degrees): 4.4183 4.4183 4.4183 90.00 90.00 90.00
Last column: nearest neighbours and their distance in Å.
Sites, in units of the cell vectors:
Na 0.5000 0.5000 0.5000  12 Li 3.12
H 0.0000 0.0000 0.0000  6 Li 2.21
Li 0.0000 0.0000 0.5000  2 H 2.21
Li 0.5000 0.0000 0.0000  2 H 2.21
Li 0.0000 0.5000 0.0000  2 H 2.21